DFT (PBE+U) results for crystalline VIn2NiO6 at its relaxed geometry.

Cell lengths 5.287, 5.355, 5.608 Å; angles 61.43, 62.61, 60.60 degrees
Last column: magnetic moment on the atom in μB.
Fractional positions:
Ni1 0.817 0.814 0.560  1.77
V1 0.320 0.319 0.052  1.09
In1 0.528 0.530 0.418  0.01
In2 0.035 0.023 0.913  0.01
O1 0.687 0.107 0.766  0.03
O2 0.574 0.204 0.257  -0.02
O3 0.195 0.954 0.260  0.03
O4 0.440 0.687 0.768  0.01
O5 0.111 0.434 0.771  0.01
O6 0.955 0.589 0.249  0.01

Calculated values
Calculated total energy   -6.0801 eV per atom
ρ   6.2 g/cm3
DOS at the Fermi energy   0.00 states/eV per cell
Total magnetization   3.00 Bohr magnetons per cell